The following is a DFT calculation (PBE) of an optimized crystal structure of Dy5Pd.

As for the total magnetic moment: 0.000 μB/cell. The calculation puts the volume at 335.9 Å³/cell. The calculated total energy comes out at -4.84 eV/atom. The crystal system is orthorhombic. As for the calculated formation energy: -0.84 eV/f.u.

It has space group Cmmm (No. 65), with a = 3.746 Å, b = 16.426 Å, c = 5.460 Å, α = 90.00°, β = 90.00° and γ = 90.00°. The inequivalent atoms are Dy at (0.000, 0.000, 0.000), Dy at (0.000, 0.143, 0.500), Dy at (0.000, 0.330, 0.000) and Pd at (0.000, 0.500, 0.500).

The following is a DFT calculation (PBE) of an optimized crystal structure of Dy4Pd.

As for the total magnetic moment: 0.002 μB/cell. The calculation puts the volume at 162.4 Å³/cell. The calculated total energy comes out at -4.83 eV/atom. The crystal system is cubic. As for the calculated formation energy: -0.55 eV/f.u. The polymorph energy (0 for the lowest one) comes out at 166 meV/atom.

It has space group Pm-3m (No. 221), with a = 5.455 Å, b = 5.455 Å, c = 5.455 Å, α = 90.00°, β = 90.00° and γ = 90.00°. The inequivalent atoms are Dy at (0.000, 0.000, 0.000), Dy at (0.000, 0.500, 0.500) and Pd at (0.500, 0.500, 0.500).

The following is a DFT calculation (PBE) of an optimized crystal structure of DyPd2.

As for the total magnetic moment: 0.000 μB/cell. The calculation puts the volume at 115.6 Å³/cell. The calculated total energy comes out at -5.78 eV/atom. The crystal system is tetragonal. As for the calculated formation energy: -2.34 eV/f.u.

It has space group I4/mmm (No. 139), with a = 3.571 Å, b = 3.571 Å, c = 9.067 Å, α = 90.00°, β = 90.00° and γ = 90.00°. The inequivalent atoms are Dy at (0.000, 0.000, 0.000) and Pd at (0.000, 0.000, 0.333).

The following is a DFT calculation (PBE) of an optimized crystal structure of Pm2DyPd.

As for the total magnetic moment: 0.000 μB/cell. The calculation puts the volume at 108.4 Å³/cell. The calculated total energy comes out at -5.01 eV/atom. The crystal system is tetragonal. As for the calculated formation energy: -0.73 eV/f.u. The polymorph energy (0 for the lowest one) comes out at 249 meV/atom.

It has space group P4/mmm (No. 123), with a = 5.387 Å, b = 5.387 Å, c = 3.734 Å, α = 90.00°, β = 90.00° and γ = 90.00°. The inequivalent atoms are Pm at (0.000, 0.500, 0.000), Dy at (0.000, 0.000, 0.500) and Pd at (0.500, 0.500, 0.500).

The following is a DFT calculation (PBE) of an optimized crystal structure of Pm4Dy3Pd4.

As for the total magnetic moment: 0.000 μB/cell. The calculation puts the volume at 582.8 Å³/cell. The calculated total energy comes out at -5.40 eV/atom. The crystal system is orthorhombic. As for the calculated formation energy: -5.85 eV/f.u.

It has space group Immm (No. 71), with a = 3.855 Å, b = 9.543 Å, c = 15.842 Å, α = 90.00°, β = 90.00° and γ = 90.00°. The inequivalent atoms are Pm at (0.000, 0.186, 0.159), Dy at (0.000, 0.000, 0.390), Dy at (0.000, 0.500, 0.500), Pd at (0.000, 0.346, 0.000) and Pd at (0.000, 0.500, 0.255).

The following is a DFT calculation (PBE) of an optimized crystal structure of Pm2DyPd.

As for the total magnetic moment: 0.000 μB/cell. The calculation puts the volume at 352.4 Å³/cell. The calculated total energy comes out at -4.74 eV/atom. The crystal system is trigonal. As for the calculated formation energy: 0.34 eV/f.u. The polymorph energy (0 for the lowest one) comes out at 516 meV/atom.

It has space group R-3m (No. 166, hexagonal axes), with a = 3.4738 Å, b = 3.4738 Å, c = 33.7168 Å, α = 90.00°, β = 90.00° and γ = 120.00°. The inequivalent atoms are Pm at (0.0000, 0.0000, 0.0794), Dy at (0.0000, 0.0000, 0.5000) and Pd at (0.0000, 0.0000, 0.0000).